12
Lattice="-3.172 -1.893 -4.928 4.871 -3.123 -1.936 -4.279 -3.175 3.973" Properties=species:S:1:pos:R:3 comment="LaGa3CuNi (GGA-PBE, relaxed)" vol_a3_per_fu=110.94 ef_mev_per_atom=-313 density_g_cm3=7.04 spacegroup="No. 63" pbc="T T T"
La -3.367 -3.960 -2.085
La 0.788 -4.231 -0.807
Ga -1.358 -1.926 -0.311
Ga 1.394 -0.894 -0.554
Ga 1.891 -3.176 -3.846
Ga -0.192 -1.840 -3.018
Ga 3.477 -2.229 -1.382
Ga -1.221 -6.265 -2.581
Cu -2.134 -3.920 0.954
Cu -0.445 -4.271 -3.846
Ni -0.016 -6.299 0.505
Ni -2.563 -1.892 -3.397